Here is an optimized crystal structure of ErS2O6F2 from Alexandria. Energies are from GGA-PBE.

Summary:
- DOS(E_F) (states/eV/cell) = 2.8
- magnetization (μB per formula unit) = 0.0
- symmetry = P-3m1
- density (g cm⁻³) = 3.668
- E (eV per atom) = -5.98
- V (Å³/f.u.) = 165

a = 5.849 Å, b = 5.849 Å, c = 5.584 Å
α = 90.00°, β = 90.00°, γ = 120.00°
Sites, in units of the cell vectors:
F1 0.667 0.333 0.536
F2 0.333 0.667 0.464
S1 0.333 0.667 0.753
S2 0.667 0.333 0.247
O1 0.812 0.625 0.213
O2 0.375 0.188 0.213
O3 0.625 0.812 0.787
O4 0.812 0.188 0.213
O5 0.188 0.812 0.787
O6 0.188 0.375 0.787
Er1 0.000 0.000 0.000